No. 1
A plane-wave DFT calculation with GGA-PBE was carried out for a relaxed structure of TcTe2Se.

Summary:
- Total moment: 0.000 μB/atom
- Uncorrected formation energy: -11 meV/atom
- Crystal system: orthorhombic
- Calculated volume: 24.2 Å³ per atom
- D(E_F): 2.77 states/eV/cell
- ρ: 7.4 g/cm³

Lattice parameters (Å, degrees): 3.8494 5.4754 5.4754 56.97 90.00 90.00
Last column: nearest neighbours and their distance in Å.
Positions (direct):
Tc: 0.0000 0.0000 0.0000  2 Se 2.52, 4 Te 2.61-2.72
Te: 0.0000 0.4931 0.4931  2 Tc 2.61
Te: 0.5000 0.1995 0.1995  2 Tc 2.72, 2 Se 2.90
Se: 0.5000 0.8305 0.8305  2 Tc 2.52

---

No. 2
A plane-wave DFT calculation with GGA-PBE was carried out for a relaxed structure of Dy5Y6Ho2.

Summary:
- Total moment: 0.000 μB/atom
- Crystal system: orthorhombic
- Calculated volume: 32.4 Å³ per atom
- D(E_F): 33.22 states/eV/cell
- ΔE_f: 0.10 eV per atom
- ρ: 6.6 g/cm³

Lattice parameters (Å, degrees): 11.6400 20.2492 3.5693 90.00 90.00 90.00
Last column: nearest neighbours and their distance in Å.
Positions (direct):
Dy: 0.0000 0.0000 0.0000  6 Y 3.34-3.41, 4 Dy 3.57-3.64
Dy: 0.0894 0.2724 0.0000  5 Y 3.33-3.48, 4 Ho 3.49-3.59, 2 Dy 3.57
Dy: 0.1991 0.5496 0.0000  6 Y 3.50-3.59, 3 Dy 3.57-3.64, 2 Ho 3.71
Dy: 0.3009 0.0496 0.0000  6 Y 3.50-3.59, 3 Dy 3.57-3.64, 2 Ho 3.71
Dy: 0.4106 0.7724 0.0000  5 Y 3.33-3.48, 4 Ho 3.49-3.59, 2 Dy 3.57
Dy: 0.5000 0.5000 0.0000  6 Y 3.34-3.41, 4 Dy 3.57-3.64
Dy: 0.5894 0.2276 0.0000  5 Y 3.33-3.48, 4 Ho 3.49-3.59, 2 Dy 3.57
Dy: 0.6991 0.9504 0.0000  6 Y 3.50-3.59, 3 Dy 3.57-3.64, 2 Ho 3.71
Dy: 0.8009 0.4504 0.0000  6 Y 3.50-3.59, 3 Dy 3.57-3.64, 2 Ho 3.71
Dy: 0.9106 0.7276 0.0000  5 Y 3.33-3.48, 4 Ho 3.49-3.59, 2 Dy 3.57
Y: 0.0578 0.4186 0.5000  6 Dy 3.48-3.59, 5 Y 3.56-3.77, 1 Ho 3.68
Y: 0.0844 0.1308 0.5000  1 Ho 3.31, 6 Dy 3.34-3.50, 4 Y 3.49-3.57
Y: 0.1732 0.8640 0.0000  2 Dy 3.33-3.41, 4 Y 3.49-3.57, 2 Ho 3.61
Y: 0.3268 0.3640 0.0000  2 Dy 3.33-3.41, 4 Y 3.49-3.57, 2 Ho 3.61
Y: 0.4156 0.6308 0.5000  1 Ho 3.31, 6 Dy 3.34-3.50, 4 Y 3.49-3.57
Y: 0.4422 0.9186 0.5000  6 Dy 3.48-3.59, 5 Y 3.56-3.77, 1 Ho 3.68
Y: 0.5578 0.0814 0.5000  6 Dy 3.48-3.59, 5 Y 3.56-3.77, 1 Ho 3.68
Y: 0.5844 0.3692 0.5000  1 Ho 3.31, 6 Dy 3.34-3.50, 4 Y 3.49-3.57
Y: 0.6732 0.6360 0.0000  2 Dy 3.33-3.41, 4 Y 3.49-3.57, 2 Ho 3.61
Y: 0.8268 0.1360 0.0000  2 Dy 3.33-3.41, 4 Y 3.49-3.57, 2 Ho 3.61
Y: 0.9156 0.8692 0.5000  1 Ho 3.31, 6 Dy 3.34-3.50, 4 Y 3.49-3.57
Y: 0.9422 0.5814 0.5000  6 Dy 3.48-3.59, 5 Y 3.56-3.77, 1 Ho 3.68
Ho: 0.1666 0.7092 0.5000  4 Y 3.31-3.68, 4 Dy 3.49-3.59, 2 Ho 3.57
Ho: 0.3334 0.2092 0.5000  4 Y 3.31-3.68, 4 Dy 3.49-3.59, 2 Ho 3.57
Ho: 0.6666 0.7908 0.5000  4 Y 3.31-3.68, 4 Dy 3.49-3.59, 2 Ho 3.57
Ho: 0.8334 0.2908 0.5000  4 Y 3.31-3.68, 4 Dy 3.49-3.59, 2 Ho 3.57

---

No. 3
A plane-wave DFT calculation with GGA-PBE was carried out for a relaxed structure of Sc5TiHg6.

Summary:
- Total moment: 0.215 μB/atom
- Crystal system: monoclinic
- Calculated volume: 21.4 Å³ per atom
- D(E_F): 9.10 states/eV/cell
- ΔE_f: -0.35 eV per atom
- ρ: 9.5 g/cm³

Lattice parameters (Å, degrees): 8.5585 8.5585 4.9396 106.73 106.73 119.88
Last column: nearest neighbours and their distance in Å.
Positions (direct):
Sc: 0.0000 0.0000 0.0000  8 Hg 2.99-3.02
Sc: 0.1700 0.8300 0.5000  8 Hg 3.00-3.03
Sc: 0.3413 0.6587 0.0000  8 Hg 2.97-3.11
Sc: 0.6587 0.3413 0.0000  8 Hg 2.97-3.11
Sc: 0.8300 0.1700 0.5000  8 Hg 3.00-3.03
Ti: 0.5000 0.5000 0.5000  8 Hg 3.05-3.07, 4 Sc 3.41
Hg: 0.0792 0.4133 0.2462  7 Sc 3.00-3.11, 1 Ti 3.05
Hg: 0.2413 0.2413 0.7411  6 Sc 2.97-3.03, 2 Ti 3.06-3.07
Hg: 0.4133 0.0792 0.2462  7 Sc 3.00-3.11, 1 Ti 3.05
Hg: 0.5867 0.9208 0.7538  7 Sc 3.00-3.11, 1 Ti 3.05
Hg: 0.7587 0.7587 0.2589  6 Sc 2.97-3.03, 2 Ti 3.06-3.07
Hg: 0.9208 0.5867 0.7538  7 Sc 3.00-3.11, 1 Ti 3.05

---

No. 4
A plane-wave DFT calculation with GGA-PBE was carried out for a relaxed structure of AcGe2Pt8.

Summary:
- Total moment: 0.000 μB/atom
- Crystal system: tetragonal
- Calculated volume: 22.2 Å³ per atom
- D(E_F): 7.76 states/eV/cell
- ΔE_f: -0.27 eV per atom
- ρ: 13.1 g/cm³

Lattice parameters (Å, degrees): 5.4399 5.4399 8.2517 90.00 90.00 90.00
Last column: nearest neighbours and their distance in Å.
Positions (direct):
Ac: 0.0000 0.0000 0.0000  8 Pt 3.13
Ge: 0.0000 0.5000 0.5000  8 Pt 2.55
Ge: 0.5000 0.0000 0.5000  8 Pt 2.55
Pt: 0.2529 0.2529 0.2977  2 Ge 2.55, 4 Pt 2.69-2.75
Pt: 0.2529 0.2529 0.7023  2 Ge 2.55, 4 Pt 2.69-2.75
Pt: 0.2529 0.7471 0.2977  2 Ge 2.55, 4 Pt 2.69-2.75
Pt: 0.2529 0.7471 0.7023  2 Ge 2.55, 4 Pt 2.69-2.75
Pt: 0.7471 0.2529 0.2977  2 Ge 2.55, 4 Pt 2.69-2.75
Pt: 0.7471 0.2529 0.7023  2 Ge 2.55, 4 Pt 2.69-2.75
Pt: 0.7471 0.7471 0.2977  2 Ge 2.55, 4 Pt 2.69-2.75
Pt: 0.7471 0.7471 0.7023  2 Ge 2.55, 4 Pt 2.69-2.75

---

Which formula does entry 3 have?
Sc5TiHg6

---

Which formula does entry 4 have?
AcGe2Pt8

---

What is the ρ in the first record?
7.4 g/cm³